Record 1
{"formula": "Sm3Y3Tm2", "functional": "PBE", "state": "relaxed", "cell": [[8.1631, -2.8400, 0.0000], [8.1631, 2.8400, 0.0000], [-2.0337, 0.0000, 5.6268]], "species": ["Sm", "Sm", "Sm", "Y", "Y", "Y", "Tm", "Tm"], "fractional_positions": [[0.0000, 0.0000, 0.0000], [0.1351, 0.1351, 0.6962], [0.8649, 0.8649, 0.3038], [0.3661, 0.3661, 0.9178], [0.5000, 0.5000, 0.5000], [0.6339, 0.6339, 0.0822], [0.2492, 0.2492, 0.3170], [0.7508, 0.7508, 0.6830]], "space_group": "C2/m (12)", "formation_energy_ev_per_atom": 0.083}



Record 2
{"formula": "Dy2ErTh6", "functional": "PBE", "state": "relaxed", "cell": [[4.6124, -8.8443, 0.0000], [4.6124, 8.8443, 0.0000], [-0.5958, 0.0000, 3.5345]], "species": ["Dy", "Dy", "Er", "Th", "Th", "Th", "Th", "Th", "Th"], "fractional_positions": [[0.1655, 0.8345, 0.0000], [0.8345, 0.1655, 0.0000], [0.0000, 0.0000, 0.5000], [0.1675, 0.5018, 0.6802], [0.3366, 0.3366, 0.1812], [0.4982, 0.8325, 0.3198], [0.5018, 0.1675, 0.6802], [0.6634, 0.6634, 0.8188], [0.8325, 0.4982, 0.3198]], "space_group": "C2/m (12)", "formation_energy_ev_per_atom": 0.128}



Record 3
{"formula": "RbMg", "functional": "PBE", "state": "relaxed", "cell": [[4.1764, 0.0000, 0.0000], [-2.0882, 3.6169, 0.0000], [0.0000, 0.0000, 12.9262]], "species": ["Rb", "Rb", "Mg", "Mg"], "fractional_positions": [[0.0000, 0.0000, 0.0000], [0.0000, 0.0000, 0.5000], [0.3333, 0.6667, 0.2500], [0.6667, 0.3333, 0.7500]], "space_group": "P6_3/mmc (194)", "formation_energy_ev_per_atom": 0.369}



Record 4
{"formula": "MnSb2As", "functional": "PBE", "state": "relaxed", "cell": [[-3.0341, 3.0341, 5.9629], [3.0341, -3.0341, 5.9629], [3.0341, 3.0341, -5.9629]], "species": ["Mn", "Mn", "Sb", "Sb", "Sb", "Sb", "As", "As"], "fractional_positions": [[0.0000, 0.0000, 0.0000], [0.7500, 0.2500, 0.5000], [0.0842, 0.6250, 0.9592], [0.3750, 0.3342, 0.4592], [0.6658, 0.1250, 0.0408], [0.8750, 0.9158, 0.5408], [0.2500, 0.7500, 0.5000], [0.5000, 0.5000, 0.0000]], "dft_energy_ev_per_atom": -5.025, "space_group": "I-42d (122)"}



Record 5
{"formula": "TiHgP2O", "functional": "PBE", "state": "relaxed", "cell": [[4.9215, 0.0000, 0.0000], [0.0000, 4.9215, 0.0000], [0.0000, 0.0000, 4.0547]], "species": ["Ti", "Hg", "P", "P", "O"], "fractional_positions": [[0.0000, 0.0000, 0.0000], [0.5000, 0.5000, 0.5000], [0.0000, 0.5000, 0.5000], [0.5000, 0.0000, 0.5000], [0.5000, 0.5000, 0.0000]], "space_group": "P4/mmm (123)", "de_polymorph_mev_per_atom": 1335}



Record 6
{"formula": "SrTi3Pt", "functional": "PBE", "state": "relaxed", "cell": [[4.9685, 0.0000, 0.0000], [0.0000, 4.9685, 0.0000], [0.0000, 0.0000, 4.9685]], "species": ["Sr", "Ti", "Ti", "Ti", "Pt"], "fractional_positions": [[0.0000, 0.0000, 0.0000], [0.0000, 0.5000, 0.5000], [0.5000, 0.0000, 0.5000], [0.5000, 0.5000, 0.0000], [0.5000, 0.5000, 0.5000]], "space_group": "Pm-3m (221)", "de_polymorph_mev_per_atom": 0, "formation_energy_ev_per_atom": 0.214}